4
Lattice="4.362 0.000 0.000 0.000 4.362 0.000 0.000 0.000 8.988" Properties=species:S:1:pos:R:3 comment="Ba2LiHo (PBE, relaxed)" n_ef_per_ev_cell=6.050 relative_energy_mev_per_atom=0 space_group="P4/mmm (123)" total_energy_ev_per_atom=-2.3740 total_magnetization_mub_per_atom=0.0001 vol_a3_per_atom=42.75 pbc="T T T"
Ba 0.000 0.000 2.145
Ba 0.000 0.000 6.843
Li 2.181 2.181 0.000
Ho 2.181 2.181 4.494

---

4
Lattice="3.965 0.000 0.000 0.000 3.965 0.000 0.000 0.000 8.260" Properties=species:S:1:pos:R:3 comment="BaLi2Ho (PBE, relaxed)" n_ef_per_ev_cell=4.955 space_group="P4/mmm (123)" total_energy_ev_per_atom=-2.4071 total_magnetization_mub_per_atom=0.0004 vol_a3_per_atom=32.47 pbc="T T T"
Ba 0.000 0.000 0.000
Li 1.983 1.983 2.428
Li 1.983 1.983 5.832
Ho 0.000 0.000 4.130

---

4
Lattice="1.886 1.089 13.250 -1.886 1.089 13.250 0.000 -2.178 13.250" Properties=species:S:1:pos:R:3 comment="Ba2LiHo (PBE, relaxed)" n_ef_per_ev_cell=4.861 relative_energy_mev_per_atom=168 space_group="R-3m (166)" total_energy_ev_per_atom=-2.2061 total_magnetization_mub_per_atom=0.0000 vol_a3_per_atom=40.83 pbc="T T T"
Ba 0.000 0.000 3.548
Ba 0.000 0.000 36.201
Li 0.000 0.000 19.874
Ho 0.000 0.000 0.000